Entry 1:
Here is crystalline NdMgGa4 at its relaxed geometry from Alexandria via LeMat-Bulk. Energies are from GGA-PBE.

Properties
The uncorrected energy comes out at -20.897 eV per formula unit. The excess energy over the best structure of this formula in the dataset comes out at 0.0 kJ/mol of atoms. As for the formation enthalpy at 0 K: -39 kJ/mol of atoms.

a b c (Å): 4.3584 6.8673 8.1993
angles (deg): 90.00 90.00 90.00
Space group Immm (No. 71)
Inequivalent atoms, fractional coordinates:
Nd1 0.0000 0.0000 0.0000 (multiplicity 2)
Mg1 0.0000 0.5000 0.0000 (multiplicity 2)
Ga1 0.0000 0.2070 0.3370 (multiplicity 8)

Entry 2:
Here is crystalline Nd2MgGa6 at its relaxed geometry from Alexandria via LeMat-Bulk. Energies are from GGA-PBE.

Properties
The uncorrected energy comes out at -32.238 eV per formula unit. As for the formation enthalpy at 0 K: -32 kJ/mol of atoms.

a b c (Å): 4.4340 6.8044 13.6816
angles (deg): 90.00 90.00 90.00
Space group Immm (No. 71)
Inequivalent atoms, fractional coordinates:
Nd1 0.0000 0.0000 0.1193 (multiplicity 4)
Mg1 0.0000 0.5000 0.0000 (multiplicity 2)
Ga1 0.0000 0.1958 0.3108 (multiplicity 8)
Ga2 0.0000 0.2774 0.5000 (multiplicity 4)

Entry 3:
Here is crystalline NdMg4Ga2 at its relaxed geometry from Alexandria via LeMat-Bulk. Energies are from GGA-PBE.

Properties
The uncorrected energy comes out at -19.158 eV per formula unit. The excess energy over the best structure of this formula in the dataset comes out at 1.4 kJ/mol of atoms. As for the formation enthalpy at 0 K: -27 kJ/mol of atoms.

a b c (Å): 8.4800 8.4800 4.3755
angles (deg): 90.00 90.00 90.00
Space group P4_2/mnm (No. 136)
Inequivalent atoms, fractional coordinates:
Nd1 0.0000 0.0000 0.0000 (multiplicity 2)
Mg1 0.0950 0.3364 0.5000 (multiplicity 8)
Ga1 0.2005 0.7995 0.5000 (multiplicity 4)

Entry 4:
Here is crystalline Nd3MgGa at its relaxed geometry from Alexandria via LeMat-Bulk. Energies are from GGA-PBE.

Properties
The uncorrected energy comes out at -20.110 eV per formula unit. The excess energy over the best structure of this formula in the dataset comes out at 0.0 kJ/mol of atoms. As for the formation enthalpy at 0 K: -23 kJ/mol of atoms.

a b c (Å): 5.3332 20.2950 5.3251
angles (deg): 90.00 90.00 90.00
Space group Cmcm (No. 63)
Inequivalent atoms, fractional coordinates:
Nd1 0.0000 0.0644 0.2500 (multiplicity 4)
Nd2 0.0000 0.2500 0.2500 (multiplicity 4)
Nd3 0.0000 0.4347 0.2500 (multiplicity 4)
Mg1 0.0000 0.1570 0.7500 (multiplicity 4)
Ga1 0.0000 0.3408 0.7500 (multiplicity 4)